(1)
# HfAg2GeAu

An optimized crystal structure of HfAg2GeAu (PBE-GGA, Alexandria via LeMat-Bulk).

The structure belongs to space group P4/mmm (No. 123); the cell edges are 5.048, 5.048 and 5.105 Å and the angles 90.00°, 90.00° and 90.00°. The inequivalent atoms are Hf at (0.000, 0.000, 0.000), Ag at (0.000, 0.500, 0.500), Ge at (0.500, 0.500, 0.000) and Au at (0.000, 0.000, 0.500).

(2)
# ScBPtI2

An optimized crystal structure of ScBPtI2 (PBE-GGA, Alexandria via LeMat-Bulk).

The structure belongs to space group P4/mmm (No. 123); the cell edges are 5.559, 5.559 and 4.532 Å and the angles 90.00°, 90.00° and 90.00°. The inequivalent atoms are Sc at (0.000, 0.000, 0.000), B at (0.000, 0.000, 0.500), Pt at (0.500, 0.500, 0.500) and I at (0.000, 0.500, 0.000).

(3)
# V2SnHIr

An optimized crystal structure of V2SnHIr (PBE-GGA, Alexandria via LeMat-Bulk).

The structure belongs to space group P4/mmm (No. 123); the cell edges are 3.912, 3.912 and 4.166 Å and the angles 90.00°, 90.00° and 90.00°. The inequivalent atoms are V at (0.000, 0.500, 0.000), Sn at (0.000, 0.000, 0.500), H at (0.500, 0.500, 0.000) and Ir at (0.500, 0.500, 0.500).

| no. | total DFT energy (no corrections) (eV/atom) |
| --- | --- |
| 1 | -3.940 |
| 2 | -3.460 |
| 3 | -7.007 |